A relaxed Er2CdCoC crystal, computed with PBE.

Output
Calculated formation energy (meV/atom): -345

Unit cell a=3.678 b=5.008 c=5.008 alpha=90.00 beta=90.00 gamma=90.00
Sites, in units of the cell vectors:
Er 0.000 0.000 0.500
Er 0.000 0.500 0.000
Cd 0.500 0.500 0.500
Co 0.500 0.000 0.000
C 0.000 0.000 0.000